1.
Material: Na3SrIn
Method: DFT, PBE-GGA
State: relaxed

Electronic total energy ... -1.745 eV per atom

```
data_Na3SrIn
_chemical_formula_sum 'Na24 Sr8 In8'
_cell_length_a 19.492
_cell_length_b 11.046
_cell_length_c 7.068
_cell_angle_alpha 90.00
_cell_angle_beta 100.98
_cell_angle_gamma 90.00
_space_group_name_H-M_alt 'C 1 2/c 1'
_space_group_IT_number 15
loop_
_space_group_symop_operation_xyz
'x,y,z'
'-x,-y,-z'
'-x,y,-z+1/2'
'x,-y,z+1/2'
'x+1/2,y+1/2,z'
'-x+1/2,-y+1/2,-z'
'-x+1/2,y+1/2,-z+1/2'
'x+1/2,-y+1/2,z+1/2'
loop_
_atom_site_label
_atom_site_type_symbol
_atom_site_fract_x
_atom_site_fract_y
_atom_site_fract_z
Na1 Na 0.168 0.165 0.072
Na2 Na 0.173 0.164 0.589
Na3 Na 0.185 0.500 0.098
Sr1 Sr 0.000 0.071 0.250
Sr2 Sr 0.000 0.357 0.750
In1 In 0.078 0.349 0.291
```

2.
Material: Y2TlZnCo
Method: DFT, PBE-GGA
State: relaxed

Electronic total energy ... -4.851 eV per atom

```
data_Y2TlZnCo
_chemical_formula_sum 'Y2 Tl1 Zn1 Co1'
_cell_length_a 5.089
_cell_length_b 5.089
_cell_length_c 4.696
_cell_angle_alpha 90.00
_cell_angle_beta 90.00
_cell_angle_gamma 90.00
_space_group_name_H-M_alt 'P 4/m m m'
_space_group_IT_number 123
_space_group_name_Hall '-P 4 2'
loop_
_atom_site_label
_atom_site_type_symbol
_atom_site_fract_x
_atom_site_fract_y
_atom_site_fract_z
Y1 Y 0.000 0.500 0.000
Tl1 Tl 0.000 0.000 0.500
Zn1 Zn 0.500 0.500 0.500
Co1 Co 0.500 0.500 0.000
```

Question: What is the electronic total energy in the second record?
Answer: -4.851 eV per atom

Question: electronic total energy of number 1 (Na3SrIn)?
Answer: -1.745 eV per atom

Question: electronic total energy of number 1 (Na3SrIn)?
Answer: -1.745 eV per atom

Question: Number 1 is which compound?
Answer: Na3SrIn